DFT (PBE) results for crystalline Ce7Tl2Os at its relaxed geometry.

```
Ce7Tl2Os
1.0
-3.867 -4.925 -4.350
-1.255 -7.102 2.474
-7.034 -2.151 2.007
Ce Tl Os
7 2 1
Direct
0.500 0.500 0.500
0.251 0.749 0.749
0.251 0.749 0.251
0.749 0.251 0.749
0.749 0.749 0.251
0.251 0.251 0.749
0.749 0.251 0.251
0.250 0.250 0.250
0.750 0.750 0.750
0.000 0.000 0.000
```

Calculated values
Volume, Å³/atom: 31.338
Spin magnetization, μB per cell: 6.80
Formation energy, eV/atom: 0.043